## Y3Cu2Rh (GGA-PBE)

Data for a relaxed structure of Y3Cu2Rh.

Lattice parameters (Å, degrees): 4.903 4.903 6.024 90.00 90.00 120.00
Atoms (fractional coordinates):
Y (0.000, 0.000, 0.000)
Y (0.333, 0.667, 0.661)
Y (0.667, 0.333, 0.339)
Cu (0.333, 0.667, 0.159)
Cu (0.667, 0.333, 0.841)
Rh (0.000, 0.000, 0.500)

Summary:
The formation enthalpy at 0 K is -0.46 eV per atom. As for the total energy: -37.7 eV per cell.